[1]
# TiAsRuSe2

An optimized crystal structure of TiAsRuSe2 (GGA-PBE, Alexandria via LeMat-Bulk).

a b c (Å): 4.9409 4.9409 4.5671
angles (deg): 90.00 90.00 90.00
Space group P4/mmm (No. 123)
Unique sites:
Ti (0.0000, 0.0000, 0.0000) [1 per cell]
As (0.5000, 0.5000, 0.0000) [1 per cell]
Ru (0.5000, 0.5000, 0.5000) [1 per cell]
Se (0.0000, 0.5000, 0.5000) [2 per cell]

## Properties
DOS(E_F) = 8.33 states/eV/cell
Total energy = -5.25 eV/atom
ΔE_f (raw) = 0.508 eV/atom
Energy relative to the lowest polymorph listed for this composition = 0 meV/atom

---

[2]
# TiAsRuSe2

An optimized crystal structure of TiAsRuSe2 (GGA-PBE, Alexandria via LeMat-Bulk).

a b c (Å): 4.8479 4.8479 4.8785
angles (deg): 90.00 90.00 90.00
Space group P4/mmm (No. 123)
Unique sites:
Ti (0.0000, 0.0000, 0.0000) [1 per cell]
As (0.0000, 0.0000, 0.5000) [1 per cell]
Ru (0.5000, 0.5000, 0.5000) [1 per cell]
Se (0.0000, 0.5000, 0.0000) [2 per cell]

## Properties
DOS(E_F) = 4.71 states/eV/cell
Total energy = -5.22 eV/atom
ΔE_f (raw) = 0.536 eV/atom
Energy relative to the lowest polymorph listed for this composition = 28 meV/atom

---

[3]
# TlAsRuSe2

An optimized crystal structure of TlAsRuSe2 (GGA-PBE, Alexandria via LeMat-Bulk).

a b c (Å): 5.3330 5.3330 5.2423
angles (deg): 90.00 90.00 90.00
Space group P4/mmm (No. 123)
Unique sites:
Tl (0.0000, 0.0000, 0.0000) [1 per cell]
As (0.0000, 0.0000, 0.5000) [1 per cell]
Ru (0.5000, 0.5000, 0.5000) [1 per cell]
Se (0.0000, 0.5000, 0.0000) [2 per cell]

## Properties
DOS(E_F) = 7.24 states/eV/cell
Total energy = -3.10 eV/atom
ΔE_f (raw) = 1.552 eV/atom
Energy relative to the lowest polymorph listed for this composition = 1337 meV/atom

---

[4]
# TlAsRuSe2

An optimized crystal structure of TlAsRuSe2 (GGA-PBE, Alexandria via LeMat-Bulk).

a b c (Å): 5.1465 5.1465 4.6437
angles (deg): 90.00 90.00 90.00
Space group P4/mmm (No. 123)
Unique sites:
Tl (0.0000, 0.0000, 0.0000) [1 per cell]
As (0.5000, 0.5000, 0.0000) [1 per cell]
Ru (0.5000, 0.5000, 0.5000) [1 per cell]
Se (0.0000, 0.5000, 0.5000) [2 per cell]

## Properties
DOS(E_F) = 7.12 states/eV/cell
Total energy = -4.44 eV/atom
ΔE_f (raw) = 0.215 eV/atom
Energy relative to the lowest polymorph listed for this composition = 0 meV/atom

---

[5]
# VAs2RuSe

An optimized crystal structure of VAs2RuSe (GGA-PBE, Alexandria via LeMat-Bulk).

a b c (Å): 4.6183 4.6183 5.2684
angles (deg): 90.00 90.00 90.00
Space group P4/mmm (No. 123)
Unique sites:
V (0.0000, 0.0000, 0.0000) [1 per cell]
As (0.0000, 0.5000, 0.5000) [2 per cell]
Ru (0.5000, 0.5000, 0.5000) [1 per cell]
Se (0.5000, 0.5000, 0.0000) [1 per cell]

## Properties
DOS(E_F) = 7.32 states/eV/cell
Total energy = -5.36 eV/atom
ΔE_f (raw) = 0.880 eV/atom
Energy relative to the lowest polymorph listed for this composition = 125 meV/atom

---

[6]
# VAs2RuSe

An optimized crystal structure of VAs2RuSe (GGA-PBE, Alexandria via LeMat-Bulk).

a b c (Å): 4.6933 4.6933 4.6777
angles (deg): 90.00 90.00 90.00
Space group P4/mmm (No. 123)
Unique sites:
V (0.0000, 0.0000, 0.0000) [1 per cell]
As (0.0000, 0.5000, 0.0000) [2 per cell]
Ru (0.5000, 0.5000, 0.5000) [1 per cell]
Se (0.0000, 0.0000, 0.5000) [1 per cell]

## Properties
DOS(E_F) = 4.67 states/eV/cell
Total energy = -5.48 eV/atom
ΔE_f (raw) = 0.756 eV/atom
Energy relative to the lowest polymorph listed for this composition = 0 meV/atom

---

[7]
# AsRuWSe2

An optimized crystal structure of AsRuWSe2 (GGA-PBE, Alexandria via LeMat-Bulk).

a b c (Å): 4.7625 4.7625 4.6374
angles (deg): 90.00 90.00 90.00
Space group P4/mmm (No. 123)
Unique sites:
As (0.0000, 0.0000, 0.0000) [1 per cell]
Ru (0.0000, 0.0000, 0.5000) [1 per cell]
W (0.5000, 0.5000, 0.0000) [1 per cell]
Se (0.0000, 0.5000, 0.5000) [2 per cell]

## Properties
DOS(E_F) = 8.91 states/eV/cell
Total energy = -5.41 eV/atom
ΔE_f (raw) = 1.356 eV/atom
Energy relative to the lowest polymorph listed for this composition = 262 meV/atom

---

[8]
# AsRuWSe2

An optimized crystal structure of AsRuWSe2 (GGA-PBE, Alexandria via LeMat-Bulk).

a b c (Å): 4.8719 4.8719 4.9318
angles (deg): 90.00 90.00 90.00
Space group P4/mmm (No. 123)
Unique sites:
As (0.0000, 0.0000, 0.0000) [1 per cell]
Ru (0.5000, 0.5000, 0.0000) [1 per cell]
W (0.0000, 0.0000, 0.5000) [1 per cell]
Se (0.0000, 0.5000, 0.5000) [2 per cell]

## Properties
DOS(E_F) = 5.64 states/eV/cell
Total energy = -5.68 eV/atom
ΔE_f (raw) = 1.094 eV/atom
Energy relative to the lowest polymorph listed for this composition = 0 meV/atom

---

- Look up the energy relative to the lowest polymorph listed for this composition of the sixth one.
  0 meV/atom

---

- Number 3 is which compound?
  TlAsRuSe2

---

Repeat the sixth record exactly.
# VAs2RuSe

An optimized crystal structure of VAs2RuSe (GGA-PBE, Alexandria via LeMat-Bulk).

a b c (Å): 4.6933 4.6933 4.6777
angles (deg): 90.00 90.00 90.00
Space group P4/mmm (No. 123)
Unique sites:
V (0.0000, 0.0000, 0.0000) [1 per cell]
As (0.0000, 0.5000, 0.0000) [2 per cell]
Ru (0.5000, 0.5000, 0.5000) [1 per cell]
Se (0.0000, 0.0000, 0.5000) [1 per cell]

## Properties
DOS(E_F) = 4.67 states/eV/cell
Total energy = -5.48 eV/atom
ΔE_f (raw) = 0.756 eV/atom
Energy relative to the lowest polymorph listed for this composition = 0 meV/atom